No. 1
Material: NaSc3Tl4
Method: DFT, PBE-GGA
State: relaxed

Calculated volume, Å³/f.u.: 191
Density, g cm⁻³: 8.477
DFT formation energy, meV/atom: -199.7
Size of the total moment, μB per formula unit: 0.000

a = 8.9089 Å, b = 8.9089 Å, c = 8.9089 Å
α = 33.43°, β = 33.43°, γ = 33.43°
Sites, in units of the cell vectors:
Na1 0.0000 0.0000 0.0000
Sc1 0.2516 0.2516 0.2516
Sc2 0.5000 0.5000 0.5000
Sc3 0.7484 0.7484 0.7484
Tl1 0.1252 0.1252 0.1252
Tl2 0.3755 0.3755 0.3755
Tl3 0.6245 0.6245 0.6245
Tl4 0.8748 0.8748 0.8748

***

No. 2
Material: NaSc2Tl2
Method: DFT, PBE-GGA
State: relaxed

Calculated volume, Å³/f.u.: 130
Density, g cm⁻³: 6.684
DFT formation energy, meV/atom: -141.8
Size of the total moment, μB per formula unit: 0.332
Energy above the most stable polymorph in this dataset, eV per formula unit: 0.00

a = 8.8186 Å, b = 8.8186 Å, c = 3.3332 Å
α = 90.00°, β = 90.00°, γ = 90.00°
Sites, in units of the cell vectors:
Na1 0.0000 0.0000 0.0000
Na2 0.5000 0.5000 0.0000
Sc1 0.1253 0.3747 0.5000
Sc2 0.3747 0.8747 0.5000
Sc3 0.6253 0.1253 0.5000
Sc4 0.8747 0.6253 0.5000
Tl1 0.1744 0.6744 0.0000
Tl2 0.3256 0.1744 0.0000
Tl3 0.6744 0.8256 0.0000
Tl4 0.8256 0.3256 0.0000

***

No. 3
Material: NaScTl6
Method: DFT, PBE-GGA
State: relaxed

Calculated volume, Å³/f.u.: 218
Density, g cm⁻³: 9.880
DFT formation energy, meV/atom: -55.9
Size of the total moment, μB per formula unit: 0.000

a = 4.7583 Å, b = 4.7583 Å, c = 9.6073 Å
α = 90.00°, β = 90.00°, γ = 90.00°
Sites, in units of the cell vectors:
Na1 0.0000 0.0000 0.0000
Sc1 0.0000 0.0000 0.5000
Tl1 0.0000 0.5000 0.2586
Tl2 0.0000 0.5000 0.7414
Tl3 0.5000 0.0000 0.2586
Tl4 0.5000 0.0000 0.7414
Tl5 0.5000 0.5000 0.0000
Tl6 0.5000 0.5000 0.5000

***

No. 4
Material: Na2ScTl2
Method: DFT, PBE-GGA
State: relaxed

Calculated volume, Å³/f.u.: 129
Density, g cm⁻³: 6.413
DFT formation energy, meV/atom: 84.2
Size of the total moment, μB per formula unit: 0.346
Energy above the most stable polymorph in this dataset, eV per formula unit: 0.12

a = 8.7283 Å, b = 8.7283 Å, c = 3.3966 Å
α = 90.00°, β = 90.00°, γ = 90.00°
Sites, in units of the cell vectors:
Na1 0.1167 0.3833 0.0000
Na2 0.3833 0.8833 0.0000
Na3 0.6167 0.1167 0.0000
Na4 0.8833 0.6167 0.0000
Sc1 0.0000 0.0000 0.0000
Sc2 0.5000 0.5000 0.0000
Tl1 0.1858 0.6858 0.5000
Tl2 0.3142 0.1858 0.5000
Tl3 0.6858 0.8142 0.5000
Tl4 0.8142 0.3142 0.5000

***

No. 5
Material: Na2Sc2Tl
Method: DFT, PBE-GGA
State: relaxed

Calculated volume, Å³/f.u.: 129
Density, g cm⁻³: 4.391
DFT formation energy, meV/atom: 395.6
Size of the total moment, μB per formula unit: 0.992

a = 7.2949 Å, b = 7.2949 Å, c = 4.8368 Å
α = 90.00°, β = 90.00°, γ = 90.00°
Sites, in units of the cell vectors:
Na1 0.1243 0.3757 0.0000
Na2 0.3757 0.8757 0.0000
Na3 0.6243 0.1243 0.0000
Na4 0.8757 0.6243 0.0000
Sc1 0.1908 0.6908 0.5000
Sc2 0.3092 0.1908 0.5000
Sc3 0.6908 0.8092 0.5000
Sc4 0.8092 0.3092 0.5000
Tl1 0.0000 0.0000 0.0000
Tl2 0.5000 0.5000 0.0000

***

No. 6
Material: NaSc3Tl
Method: DFT, PBE-GGA
State: relaxed

Calculated volume, Å³/f.u.: 167
Density, g cm⁻³: 3.604
DFT formation energy, meV/atom: 511.6
Size of the total moment, μB per formula unit: 1.237
Energy above the most stable polymorph in this dataset, eV per formula unit: 0.00

a = 5.5057 Å, b = 5.5057 Å, c = 5.5057 Å
α = 90.00°, β = 90.00°, γ = 90.00°
Sites, in units of the cell vectors:
Na1 0.0000 0.0000 0.0000
Sc1 0.0000 0.5000 0.5000
Sc2 0.5000 0.0000 0.5000
Sc3 0.5000 0.5000 0.0000
Tl1 0.5000 0.5000 0.5000

***

No. 7
Material: NaScTl2
Method: DFT, PBE-GGA
State: relaxed

Calculated volume, Å³/f.u.: 107
Density, g cm⁻³: 7.411
DFT formation energy, meV/atom: -82.5
Size of the total moment, μB per formula unit: 0.000

a = 10.2033 Å, b = 10.2033 Å, c = 10.2033 Å
α = 19.82°, β = 19.82°, γ = 19.82°
Sites, in units of the cell vectors:
Na1 0.0000 0.0000 0.0000
Sc1 0.8332 0.8332 0.8332
Tl1 0.2465 0.2465 0.2465
Tl2 0.4199 0.4199 0.4199

***

No. 8
Material: NaScTl2
Method: DFT, PBE-GGA
State: relaxed

Calculated volume, Å³/f.u.: 107
Density, g cm⁻³: 7.380
DFT formation energy, meV/atom: -70.3
Size of the total moment, μB per formula unit: 0.000

a = 10.3286 Å, b = 10.3286 Å, c = 10.3286 Å
α = 19.49°, β = 19.49°, γ = 19.49°
Sites, in units of the cell vectors:
Na1 0.0000 0.0000 0.0000
Sc1 0.5000 0.5000 0.5000
Tl1 0.2462 0.2462 0.2462
Tl2 0.7538 0.7538 0.7538

***

No. 9
Material: NaScTl2
Method: DFT, PBE-GGA
State: relaxed

Calculated volume, Å³/f.u.: 98
Density, g cm⁻³: 8.057
DFT formation energy, meV/atom: -181.8
Size of the total moment, μB per formula unit: 0.000

a = 5.2555 Å, b = 5.2555 Å, c = 3.5572 Å
α = 90.00°, β = 90.00°, γ = 90.00°
Sites, in units of the cell vectors:
Na1 0.0000 0.0000 0.0000
Sc1 0.5000 0.5000 0.0000
Tl1 0.0000 0.5000 0.5000
Tl2 0.5000 0.0000 0.5000

***

No. 10
Material: NaSc5Tl6
Method: DFT, PBE-GGA
State: relaxed

Calculated volume, Å³/f.u.: 285
Density, g cm⁻³: 8.589
DFT formation energy, meV/atom: -221.9
Size of the total moment, μB per formula unit: 0.011

a = 8.8897 Å, b = 8.8897 Å, c = 8.8897 Å
α = 146.54°, β = 132.06°, γ = 59.72°
Sites, in units of the cell vectors:
Na1 0.0000 0.0000 0.0000
Sc1 0.1614 0.6614 0.5000
Sc2 0.3331 0.3331 0.0000
Sc3 0.5000 0.0000 0.5000
Sc4 0.6669 0.6669 0.0000
Sc5 0.8386 0.3386 0.5000
Tl1 0.0841 0.8319 0.2521
Tl2 0.2538 0.5000 0.7538
Tl3 0.4202 0.1681 0.2521
Tl4 0.5798 0.8319 0.7479
Tl5 0.7462 0.5000 0.2462
Tl6 0.9159 0.1681 0.7479

***

No. 11
Material: Na2ScTl9
Method: DFT, PBE-GGA
State: relaxed

Calculated volume, Å³/f.u.: 334
Density, g cm⁻³: 9.610
DFT formation energy, meV/atom: -60.7
Size of the total moment, μB per formula unit: 0.000

a = 4.7775 Å, b = 4.7775 Å, c = 14.6141 Å
α = 90.00°, β = 90.00°, γ = 90.00°
Sites, in units of the cell vectors:
Na1 0.0000 0.0000 0.1761
Na2 0.0000 0.0000 0.8239
Sc1 0.0000 0.0000 0.5000
Tl1 0.0000 0.5000 0.0000
Tl2 0.0000 0.5000 0.3416
Tl3 0.0000 0.5000 0.6584
Tl4 0.5000 0.0000 0.0000
Tl5 0.5000 0.0000 0.3416
Tl6 0.5000 0.0000 0.6584
Tl7 0.5000 0.5000 0.1723
Tl8 0.5000 0.5000 0.5000
Tl9 0.5000 0.5000 0.8277

***

No. 12
Material: Na2Sc2Tl
Method: DFT, PBE-GGA
State: relaxed

Calculated volume, Å³/f.u.: 153
Density, g cm⁻³: 3.681
DFT formation energy, meV/atom: 393.7
Size of the total moment, μB per formula unit: 0.000

a = 9.6412 Å, b = 9.6412 Å, c = 9.6412 Å
α = 155.54°, β = 155.54°, γ = 34.87°
Sites, in units of the cell vectors:
Na1 0.0946 0.0946 0.0000
Na2 0.9054 0.9054 0.0000
Sc1 0.2500 0.7500 0.5000
Sc2 0.7500 0.2500 0.5000
Tl1 0.5000 0.5000 0.0000

***

No. 13
Material: Na2ScTl
Method: DFT, PBE-GGA
State: relaxed

Calculated volume, Å³/f.u.: 116
Density, g cm⁻³: 4.216
DFT formation energy, meV/atom: 292.9
Size of the total moment, μB per formula unit: 0.000
Energy above the most stable polymorph in this dataset, eV per formula unit: 0.26

a = 6.8955 Å, b = 6.8955 Å, c = 6.8955 Å
α = 101.16°, β = 101.16°, γ = 127.80°
Sites, in units of the cell vectors:
Na1 0.0995 0.6250 0.9745
Na2 0.3750 0.3495 0.4745
Na3 0.6505 0.1250 0.0255
Na4 0.8750 0.9005 0.5255
Sc1 0.2500 0.7500 0.5000
Sc2 0.5000 0.5000 0.0000
Tl1 0.0000 0.0000 0.0000
Tl2 0.7500 0.2500 0.5000

***

No. 14
Material: Na2ScTl2
Method: DFT, PBE-GGA
State: relaxed

Calculated volume, Å³/f.u.: 136
Density, g cm⁻³: 6.089
DFT formation energy, meV/atom: 60.3
Size of the total moment, μB per formula unit: 0.649
Energy above the most stable polymorph in this dataset, eV per formula unit: 0.00

a = 8.6291 Å, b = 8.6291 Å, c = 3.6601 Å
α = 90.00°, β = 90.00°, γ = 90.00°
Sites, in units of the cell vectors:
Na1 0.1373 0.3627 0.0000
Na2 0.3627 0.8627 0.0000
Na3 0.6373 0.1373 0.0000
Na4 0.8627 0.6373 0.0000
Sc1 0.0000 0.0000 0.5000
Sc2 0.5000 0.5000 0.5000
Tl1 0.1648 0.6648 0.5000
Tl2 0.3352 0.1648 0.5000
Tl3 0.6648 0.8352 0.5000
Tl4 0.8352 0.3352 0.5000

***

No. 15
Material: NaScTl2
Method: DFT, PBE-GGA
State: relaxed

Calculated volume, Å³/f.u.: 122
Density, g cm⁻³: 6.494
DFT formation energy, meV/atom: 299.9
Size of the total moment, μB per formula unit: 0.001

a = 6.9997 Å, b = 6.9997 Å, c = 6.9997 Å
α = 153.11°, β = 127.67°, γ = 59.80°
Sites, in units of the cell vectors:
Na1 0.0000 0.0000 0.0000
Sc1 0.5000 0.5000 0.0000
Tl1 0.2531 0.2531 0.0000
Tl2 0.7469 0.7469 0.0000

***

No. 16
Material: Na2ScTl
Method: DFT, PBE-GGA
State: relaxed

Calculated volume, Å³/f.u.: 102
Density, g cm⁻³: 4.819
DFT formation energy, meV/atom: 227.2
Size of the total moment, μB per formula unit: 0.000
Energy above the most stable polymorph in this dataset, eV per formula unit: 0.00

a = 5.2403 Å, b = 5.2403 Å, c = 5.2403 Å
α = 60.00°, β = 60.00°, γ = 60.00°
Sites, in units of the cell vectors:
Na1 0.2500 0.2500 0.2500
Na2 0.7500 0.7500 0.7500
Sc1 0.0000 0.0000 0.0000
Tl1 0.5000 0.5000 0.5000

***

No. 17
Material: NaYScTl
Method: DFT, PBE-GGA
State: relaxed

Calculated volume, Å³/f.u.: 103
Density, g cm⁻³: 5.799
DFT formation energy, meV/atom: -32.3
Size of the total moment, μB per formula unit: 0.004

a = 5.2690 Å, b = 5.2690 Å, c = 5.2690 Å
α = 60.00°, β = 60.00°, γ = 60.00°
Sites, in units of the cell vectors:
Na1 0.0000 0.0000 0.0000
Y1 0.2500 0.2500 0.2500
Sc1 0.7500 0.7500 0.7500
Tl1 0.5000 0.5000 0.5000

***

No. 18
Material: NaScTlZn
Method: DFT, PBE-GGA
State: relaxed

Calculated volume, Å³/f.u.: 88
Density, g cm⁻³: 6.359
DFT formation energy, meV/atom: -73.7
Size of the total moment, μB per formula unit: 0.000

a = 4.9962 Å, b = 4.9962 Å, c = 4.9962 Å
α = 60.00°, β = 60.00°, γ = 60.00°
Sites, in units of the cell vectors:
Na1 0.0000 0.0000 0.0000
Sc1 0.5000 0.5000 0.5000
Tl1 0.7500 0.7500 0.7500
Zn1 0.2500 0.2500 0.2500

***

No. 19
Material: NaTm2Sc
Method: DFT, PBE-GGA
State: relaxed

Calculated volume, Å³/f.u.: 120
Density, g cm⁻³: 5.623
DFT formation energy, meV/atom: 149.8
Size of the total moment, μB per formula unit: 0.000
Energy above the most stable polymorph in this dataset, eV per formula unit: 0.00

a = 3.4336 Å, b = 3.4336 Å, c = 10.1650 Å
α = 90.00°, β = 90.00°, γ = 90.00°
Sites, in units of the cell vectors:
Na1 0.0000 0.0000 0.0000
Tm1 0.5000 0.5000 0.2811
Tm2 0.5000 0.5000 0.7189
Sc1 0.0000 0.0000 0.5000

***

No. 20
Material: NaTmSc
Method: DFT, PBE-GGA
State: relaxed

Calculated volume, Å³/f.u.: 89
Density, g cm⁻³: 4.434
DFT formation energy, meV/atom: 192.0
Size of the total moment, μB per formula unit: 0.777
Energy above the most stable polymorph in this dataset, eV per formula unit: 0.00

a = 3.3839 Å, b = 3.3839 Å, c = 8.9449 Å
α = 90.00°, β = 90.00°, γ = 120.00°
Sites, in units of the cell vectors:
Na1 0.0000 0.0000 0.0000
Tm1 0.6667 0.3333 0.3632
Sc1 0.3333 0.6667 0.6525